[1]
Below is an optimized crystal structure of NaSrLaAl, with properties calculated at the PBE-GGA level.

The structure in POSCAR format:
```
NaSrLaAl
1.0
5.683 0.000 0.000
2.841 4.921 0.000
2.841 1.640 4.640
Al La Na Sr
1 1 1 1
direct
0.250 0.250 0.250
0.500 0.500 0.500
0.750 0.750 0.750
0.000 0.000 0.000
```

Computed properties:
- space-group type = F-43m (216)
- magnetization (μB/cell) = 0.003
- energy of formation from the pure elements (meV per atom) = -21

[2]
Below is an optimized crystal structure of Nd2CoBi, with properties calculated at the PBE-GGA level.

The structure in POSCAR format:
```
Nd2CoBi
1.0
-3.548 -1.190 0.842
-1.102 -3.555 -0.928
1.601 -4.828 8.665
Co Nd Bi
1 2 1
direct
0.500 0.500 0.500
0.887 0.887 0.338
0.113 0.113 0.662
0.000 0.000 0.000
```

Computed properties:
- space-group type = R-3m (166)
- magnetization (μB/cell) = 0.000
- energy of formation from the pure elements (meV per atom) = -31

[3]
Below is an optimized crystal structure of HfTaFeN2, with properties calculated at the PBE-GGA level.

The structure in POSCAR format:
```
HfTaFeN2
1.0
3.923 0.000 0.000
0.000 5.916 0.000
0.000 0.000 3.923
N Fe Ta Hf
2 1 1 1
direct
0.000 0.000 0.500
0.500 0.000 0.000
0.500 0.500 0.500
0.000 0.000 0.000
0.000 0.500 0.000
```

Computed properties:
- space-group type = P4/mmm (123)
- magnetization (μB/cell) = 0.000
- uncorrected formation energy (eV per atom) = 1.151

[4]
Below is an optimized crystal structure of Pr5Er5Tm, with properties calculated at the PBE-GGA level.

The structure in POSCAR format:
```
Pr5Er5Tm
1.0
5.993 0.000 0.000
-2.996 9.487 0.340
0.000 -2.863 6.461
Pr Er Tm
5 5 1
direct
0.175 0.351 0.420
0.500 0.000 0.000
0.825 0.649 0.068
0.825 0.649 0.580
0.175 0.351 0.932
0.000 0.000 0.500
0.332 0.663 0.831
0.379 0.758 0.379
0.668 0.337 0.169
0.621 0.242 0.621
0.000 0.000 0.000
```

Computed properties:
- space-group type = Immm (71)
- magnetization (μB/cell) = 0.271
- energy of formation from the pure elements (meV per atom) = 264

[5]
Below is an optimized crystal structure of MnPW3, with properties calculated at the PBE-GGA level.

The structure in POSCAR format:
```
MnPW3
1.0
4.396 0.000 0.000
0.000 4.396 0.000
0.000 0.000 4.396
P W Mn
1 3 1
direct
0.000 0.000 0.000
0.000 0.500 0.000
0.500 0.000 0.000
0.000 0.000 0.500
0.500 0.500 0.500
```

Computed properties:
- space-group type = Pm-3m (221)
- magnetization (μB/cell) = 0.000
- energy of formation from the pure elements (meV per atom) = 1214
- E above lowest polymorph (eV/f.u.) = 0.00

[6]
Below is an optimized crystal structure of HfSe, with properties calculated at the PBE-GGA level.

The structure in POSCAR format:
```
HfSe
1.0
3.607 0.000 0.000
0.000 6.317 0.000
0.000 0.000 12.413
Se Hf
6 6
direct
0.000 0.725 0.709
0.500 0.275 0.791
0.000 0.660 0.000
0.500 0.340 0.500
0.500 0.275 0.209
0.000 0.725 0.291
0.000 0.662 0.500
0.000 0.005 0.872
0.500 0.338 0.000
0.500 0.995 0.372
0.000 0.005 0.128
0.500 0.995 0.628
```

Computed properties:
- space-group type = Pmmn (59)
- magnetization (μB/cell) = 0.000
- uncorrected formation energy (eV per atom) = -0.929

[7]
Below is an optimized crystal structure of TaMoOs2, with properties calculated at the PBE-GGA level.

The structure in POSCAR format:
```
TaMoOs2
1.0
-2.823 0.390 -0.107
-0.493 -3.776 -0.765
-0.359 -1.075 5.535
Ta Mo Os
1 1 2
direct
0.500 0.500 0.250
0.500 0.500 0.750
0.000 0.000 0.508
0.000 0.000 0.992
```

Computed properties:
- space-group type = Pmmm (47)
- magnetization (μB/cell) = 0.000
- energy of formation from the pure elements (meV per atom) = -30
- E above lowest polymorph (eV/f.u.) = 0.01

[8]
Below is an optimized crystal structure of La2PmNd2Sm, with properties calculated at the PBE-GGA level.

The structure in POSCAR format:
```
La2PmNd2Sm
1.0
-2.480 -2.084 -4.865
1.906 -6.656 1.879
-8.742 -1.111 4.933
Nd Pm Sm La
4 2 2 4
direct
0.000 0.258 0.834
0.500 0.757 0.667
0.000 0.758 0.166
0.500 0.257 0.333
0.000 0.007 0.500
0.000 0.507 0.500
0.500 0.757 0.337
0.500 0.257 0.663
0.500 0.508 0.000
0.000 0.258 0.170
0.500 0.008 0.000
0.000 0.758 0.830
```

Computed properties:
- space-group type = Pmc2_1 (26)
- magnetization (μB/cell) = 0.000
- energy of formation from the pure elements (meV per atom) = 47

[9]
Below is an optimized crystal structure of MnCr2As, with properties calculated at the PBE-GGA level.

The structure in POSCAR format:
```
MnCr2As
1.0
-1.897 -3.447 -1.103
-0.999 -2.776 2.827
-3.920 -0.583 0.996
As Cr Mn
1 2 1
direct
0.500 0.500 0.500
0.250 0.250 0.250
0.000 0.000 0.000
0.750 0.750 0.750
```

Computed properties:
- space-group type = F-43m (216)
- magnetization (μB/cell) = 0.016
- energy of formation from the pure elements (meV per atom) = 44

[10]
Below is an optimized crystal structure of Na5Hg2Pb, with properties calculated at the PBE-GGA level.

The structure in POSCAR format:
```
Na5Hg2Pb
1.0
0.051 -5.341 -0.561
5.266 0.160 -1.041
-1.161 1.821 8.257
Na Hg Pb
5 2 1
direct
0.132 0.632 0.263
0.500 0.500 0.000
0.868 0.368 0.737
0.368 0.868 0.737
0.632 0.132 0.263
0.251 0.251 0.501
0.749 0.749 0.499
0.000 0.000 0.000
```

Computed properties:
- space-group type = I4/mmm (139)
- magnetization (μB/cell) = 0.000
- energy of formation from the pure elements (meV per atom) = -188

[11]
Below is an optimized crystal structure of YMnSe2, with properties calculated at the PBE-GGA level.

The structure in POSCAR format:
```
YMnSe2
1.0
2.404 0.000 7.914
-1.202 2.082 7.914
-1.202 -2.082 7.914
Se Y Mn
2 1 1
direct
0.101 0.101 0.101
0.899 0.899 0.899
0.500 0.500 0.500
0.000 0.000 0.000
```

Computed properties:
- space-group type = R-3m (166)
- magnetization (μB/cell) = 4.047
- uncorrected formation energy (eV per atom) = -0.901

[12]
Below is an optimized crystal structure of Ta3PbF, with properties calculated at the PBE-GGA level.

The structure in POSCAR format:
```
Ta3PbF
1.0
5.212 0.000 0.000
0.000 5.212 0.000
0.000 0.000 5.212
Pb F Ta
1 1 3
direct
0.000 0.000 0.000
0.500 0.500 0.500
0.000 0.000 0.500
0.000 0.500 0.000
0.500 0.000 0.000
```

Computed properties:
- space-group type = Pm-3m (221)
- magnetization (μB/cell) = 1.027
- uncorrected formation energy (eV per atom) = 2.523
- E above lowest polymorph (eV/f.u.) = 10.94